# 1
First-principles (PBE) data for crystalline MnCuSe4 at its relaxed geometry, as listed in Alexandria.

Geometry as POSCAR:
```
MnCuSe4
1.0
-6.4800 -2.3108 -0.7521
1.0632 -4.9768 -4.7848
0.8476 -3.6860 4.0222
Mn Cu Se
2 2 8
direct
0.5000 0.2500 0.3730
0.5000 0.7500 0.6270
0.0000 0.2500 0.0598
0.0000 0.7500 0.9402
0.2474 0.4437 0.1045
0.2834 0.4931 0.6226
0.7526 0.0563 0.1045
0.7166 0.5069 0.3774
0.7166 0.0069 0.6226
0.2474 0.9437 0.8955
0.2834 0.9931 0.3774
0.7526 0.5563 0.8955
```

Calculated values
As for the final energy: -0.3424 Ry/atom. The calculation puts the energy above the lowest structure with this stoichiometry at 107 meV per atom. The density of states at the Fermi level comes out at 4.3 states/eV per cell.


# 2
First-principles (PBE) data for crystalline MgMo2P at its relaxed geometry, as listed in Alexandria.

Geometry as POSCAR:
```
MgMo2P
1.0
-0.6287 -2.8678 2.3087
2.0011 -2.2321 -2.2278
8.4959 -0.3718 4.8730
P Mo Mg
2 4 2
direct
0.0000 0.0000 0.0000
0.7500 0.2500 0.5000
0.6333 0.1250 0.2500
0.1167 0.6250 0.2500
0.3750 0.3667 0.7500
0.8750 0.8833 0.7500
0.5000 0.5000 0.0000
0.2500 0.7500 0.5000
```

Calculated values
As for the final energy: -0.5040 Ry/atom. The formation enthalpy at 0 K comes out at 0.309 eV per atom. The calculation puts the energy above the lowest structure with this stoichiometry at 312 meV per atom. The density of states at the Fermi level comes out at 4.3 states/eV per cell.


# 3
First-principles (PBE) data for crystalline Rb2NpSbO6 at its relaxed geometry, as listed in Alexandria.

Geometry as POSCAR:
```
Rb2NpSbO6
1.0
-3.3818 -1.2993 -4.7562
2.7475 -5.2856 -0.5099
-3.2126 -5.0421 -0.0962
Rb Np Sb O
2 1 1 6
direct
0.7500 0.2500 0.5000
0.2500 0.7500 0.5000
0.0000 0.0000 0.0000
0.5000 0.5000 0.0000
0.2533 0.2533 0.4933
0.7466 0.7466 0.0000
0.2534 0.7467 0.0000
0.7466 0.2533 0.0000
0.2534 0.2534 0.0000
0.7467 0.7467 0.5067
```

Calculated values
As for the final energy: -0.5108 Ry/atom. The density of states at the Fermi level comes out at 3.9 states/eV per cell.


# 4
First-principles (PBE) data for crystalline LiHf2Pd6 at its relaxed geometry, as listed in Alexandria.

Geometry as POSCAR:
```
LiHf2Pd6
1.0
-0.8264 -2.8157 0.4137
7.1788 -1.9324 1.1890
-3.9685 3.5807 5.9432
Li Hf Pd
1 2 6
direct
0.0000 0.0000 0.0000
0.6767 0.6619 0.3237
0.3233 0.3381 0.6763
0.1719 0.3565 0.3326
0.8281 0.0239 0.6674
0.8281 0.6435 0.6674
0.5000 0.2998 0.0000
0.1719 0.9761 0.3326
0.5000 0.7002 0.0000
```

Calculated values
As for the final energy: -0.4664 Ry/atom. The formation enthalpy at 0 K comes out at -0.459 eV per atom. The density of states at the Fermi level comes out at 3.9 states/eV per cell.


# 5
First-principles (PBE) data for crystalline RbInGa2Ni at its relaxed geometry, as listed in Alexandria.

Geometry as POSCAR:
```
RbInGa2Ni
1.0
-4.1674 -1.6565 -1.8602
1.1209 -4.4851 1.4829
-2.3471 0.8899 4.4657
Ni Ga Rb In
1 2 1 1
direct
0.0000 0.0000 0.0000
0.0000 0.5000 0.0000
0.5000 0.0000 0.0000
0.5000 0.5000 0.5000
0.0000 0.0000 0.5000
```

Calculated values
As for the final energy: -0.2303 Ry/atom. The formation enthalpy at 0 K comes out at -0.025 eV per atom. The density of states at the Fermi level comes out at 3.3 states/eV per cell.


# 6
First-principles (PBE) data for crystalline CoP2SN at its relaxed geometry, as listed in Alexandria.

Geometry as POSCAR:
```
CoP2SN
1.0
-1.3855 3.3330 -2.2724
-3.8401 -0.3538 1.8224
1.2960 2.7668 3.2680
P S Co N
2 1 1 1
direct
0.0000 0.5000 0.0000
0.5000 0.0000 0.0000
0.0000 0.0000 0.5000
0.0000 0.0000 0.0000
0.5000 0.5000 0.5000
```

Calculated values
As for the final energy: -0.3343 Ry/atom. The calculation puts the energy above the lowest structure with this stoichiometry at 457 meV per atom. The density of states at the Fermi level comes out at 6.2 states/eV per cell.


# 7
First-principles (PBE) data for crystalline Dy4Cd3In at its relaxed geometry, as listed in Alexandria.

Geometry as POSCAR:
```
Dy4Cd3In
1.0
3.6526 0.0000 0.0000
0.0000 4.8796 0.0000
0.0000 0.0000 12.0554
Dy Cd In
4 3 1
direct
0.5000 0.5000 0.3414
0.0000 0.5000 0.8383
0.0000 0.0000 0.1612
0.5000 0.0000 0.6597
0.0000 0.5000 0.5729
0.0000 0.0000 0.4269
0.5000 0.0000 0.9250
0.5000 0.5000 0.0746
```

Calculated values
As for the final energy: -0.2420 Ry/atom. The formation enthalpy at 0 K comes out at -0.307 eV per atom. The calculation puts the energy above the lowest structure with this stoichiometry at 57 meV per atom. The density of states at the Fermi level comes out at 6.7 states/eV per cell.


# 8
First-principles (PBE) data for crystalline LiLa2Mg at its relaxed geometry, as listed in Alexandria.

Geometry as POSCAR:
```
LiLa2Mg
1.0
3.5988 0.0000 0.0000
0.0000 4.5638 0.0000
0.0000 0.0000 7.1576
La Li Mg
2 1 1
direct
0.0000 0.0000 0.0009
0.5000 0.5000 0.2426
0.0000 0.0000 0.5198
0.5000 0.5000 0.7367
```

Calculated values
As for the final energy: -0.2414 Ry/atom. The formation enthalpy at 0 K comes out at 0.056 eV per atom. The calculation puts the energy above the lowest structure with this stoichiometry at 59 meV per atom. The density of states at the Fermi level comes out at 4.1 states/eV per cell.


# 9
First-principles (PBE) data for crystalline Cd2RuAu at its relaxed geometry, as listed in Alexandria.

Geometry as POSCAR:
```
Cd2RuAu
1.0
-1.7042 -1.4883 1.8771
-1.8341 -1.9528 -3.2134
4.0540 -4.2800 0.2871
Au Cd Ru
1 2 1
direct
0.5000 0.5000 0.7451
0.0000 0.0000 0.9891
0.5000 0.5000 0.2717
0.0000 0.0000 0.4940
```

Calculated values
As for the final energy: -0.2479 Ry/atom. The formation enthalpy at 0 K comes out at 0.222 eV per atom. The calculation puts the energy above the lowest structure with this stoichiometry at 113 meV per atom. The density of states at the Fermi level comes out at 3.0 states/eV per cell.


# 10
First-principles (PBE) data for crystalline MgAlPb at its relaxed geometry, as listed in Alexandria.

Geometry as POSCAR:
```
MgAlPb
1.0
7.0096 0.0245 -0.0257
6.1831 3.2191 -0.0818
0.8265 0.1023 3.1934
Al Mg Pb
1 1 1
direct
0.9895 0.9895 0.0105
0.3472 0.3472 0.6528
0.6633 0.6633 0.3367
```

Calculated values
As for the final energy: -0.2134 Ry/atom. The formation enthalpy at 0 K comes out at 0.112 eV per atom. The density of states at the Fermi level comes out at 1.0 states/eV per cell.


# 11
First-principles (PBE) data for crystalline La2Tb2Bi2H at its relaxed geometry, as listed in Alexandria.

Geometry as POSCAR:
```
La2Tb2Bi2H
1.0
-2.3940 0.2166 4.0192
3.8900 -1.0766 2.3751
1.2183 9.0887 -2.4926
La Tb Bi H
2 2 2 1
direct
0.1779 0.1779 0.3557
0.8221 0.8221 0.6443
0.0000 0.5000 0.0000
0.5000 0.0000 0.0000
0.3682 0.3682 0.7364
0.6318 0.6318 0.2636
0.0000 0.0000 0.0000
```

Calculated values
As for the final energy: -0.3694 Ry/atom. The density of states at the Fermi level comes out at 8.4 states/eV per cell.


# 12
First-principles (PBE) data for crystalline LuPaRuAu at its relaxed geometry, as listed in Alexandria.

Geometry as POSCAR:
```
LuPaRuAu
1.0
4.9331 0.0000 0.0000
2.4665 4.2722 0.0000
2.4665 1.4241 4.0279
Ru Pa Au Lu
1 1 1 1
direct
0.0000 0.0000 0.0000
0.7500 0.7500 0.7500
0.5000 0.5000 0.5000
0.2500 0.2500 0.2500
```

Calculated values
As for the final energy: -0.5185 Ry/atom. The formation enthalpy at 0 K comes out at -0.412 eV per atom. The density of states at the Fermi level comes out at 5.1 states/eV per cell.